Record 1
First-principles (GGA-PBE) data for an optimized crystal structure of SmMgCo2H6, as listed in Alexandria.

The calculation puts the total energy at -4.308 eV per atom. The value obtained for the density of states at the Fermi level is 0.5444 states/eV/atom. As for the crystal system: trigonal. The spin magnetization is 0.00 μB per atom.

CIF file:
```
data_SmMgCo2H6
_space_group_name_H-M_alt 'R -3 m'
_space_group_IT_number 166
_space_group_name_Hall '-R 3 2"'
_cell_length_a 4.4215
_cell_length_b 4.4215
_cell_length_c 15.2116
_cell_angle_alpha 90.00
_cell_angle_beta 90.00
_cell_angle_gamma 120.00
loop_
_atom_site_label
_atom_site_fract_x
_atom_site_fract_y
_atom_site_fract_z
Sm1 0.0000 0.0000 0.0000
Mg1 0.0000 0.0000 0.5000
Co1 0.0000 0.0000 0.2056
H1 0.0154 0.5077 0.9340
```

***

Record 2
First-principles (GGA-PBE) data for an optimized crystal structure of SmZnAu, as listed in Alexandria.

The calculation puts the total energy at -3.592 eV per atom. The calculation puts the formation energy at -11.6 kcal/mol of atoms. The value obtained for the density of states at the Fermi level is 0.4247 states/eV/atom. As for the crystal system: tetragonal. The spin magnetization is 0.01 μB per atom.

CIF file:
```
data_SmZnAu
_space_group_name_H-M_alt 'I 4 m m'
_space_group_IT_number 107
_space_group_name_Hall 'I 4 -2'
_cell_length_a 3.6492
_cell_length_b 3.6492
_cell_length_c 9.7903
_cell_angle_alpha 90.00
_cell_angle_beta 90.00
_cell_angle_gamma 90.00
loop_
_atom_site_label
_atom_site_fract_x
_atom_site_fract_y
_atom_site_fract_z
Sm1 0.0000 0.0000 0.0000
Zn1 0.0000 0.0000 0.3161
Au1 0.0000 0.0000 0.6834
```

***

Record 3
First-principles (GGA-PBE) data for an optimized crystal structure of La3Rh, as listed in Alexandria.

The calculation puts the total energy at -5.617 eV per atom. The calculation puts the formation energy at -1.9 kcal/mol of atoms. The value obtained for the density of states at the Fermi level is 1.4101 states/eV/atom. As for the crystal system: orthorhombic. The spin magnetization is 0.00 μB per atom.

CIF file:
```
data_La3Rh
_space_group_name_H-M_alt 'C m m m'
_space_group_IT_number 65
_space_group_name_Hall '-C 2 2'
_cell_length_a 6.0781
_cell_length_b 7.2600
_cell_length_c 5.0668
_cell_angle_alpha 90.00
_cell_angle_beta 90.00
_cell_angle_gamma 90.00
loop_
_atom_site_label
_atom_site_fract_x
_atom_site_fract_y
_atom_site_fract_z
La1 0.0000 0.0000 0.0000
La2 0.2500 0.2500 0.5000
Rh1 0.0000 0.5000 0.0000
```

***

Record 4
First-principles (GGA-PBE) data for an optimized crystal structure of AgC5, as listed in Alexandria.

The calculation puts the total energy at -7.071 eV per atom. The calculation puts the formation energy at 25.2 kcal/mol of atoms. The value obtained for the density of states at the Fermi level is 0.4641 states/eV/atom. As for the crystal system: orthorhombic. The spin magnetization is 0.08 μB per atom. As for the distance to the lowest polymorph of the same formula: 0.219 eV/atom.

CIF file:
```
data_AgC5
_space_group_name_H-M_alt 'C m m m'
_space_group_IT_number 65
_space_group_name_Hall '-C 2 2'
_cell_length_a 7.8186
_cell_length_b 8.4340
_cell_length_c 2.4921
_cell_angle_alpha 90.00
_cell_angle_beta 90.00
_cell_angle_gamma 90.00
loop_
_atom_site_label
_atom_site_fract_x
_atom_site_fract_y
_atom_site_fract_z
Ag1 0.0000 0.0000 0.0000
C1 0.0000 0.2488 0.0000
C2 0.0000 0.3359 0.5000
C3 0.0000 0.5000 0.5000
```

***

Record 5
First-principles (GGA-PBE) data for an optimized crystal structure of PBr6, as listed in Alexandria.

The calculation puts the total energy at -2.204 eV per atom. For the uncorrected formation energy, the calculation gives 2.7 meV per atom. The value obtained for the density of states at the Fermi level is 1.8343 states/eV/atom. As for the crystal system: cubic. The spin magnetization is 0.15 μB per atom.

CIF file:
```
data_PBr6
_space_group_name_H-M_alt 'I m -3 m'
_space_group_IT_number 229
_space_group_name_Hall '-I 4 2 3'
_cell_length_a 8.1232
_cell_length_b 8.1232
_cell_length_c 8.1232
_cell_angle_alpha 90.00
_cell_angle_beta 90.00
_cell_angle_gamma 90.00
loop_
_atom_site_label
_atom_site_fract_x
_atom_site_fract_y
_atom_site_fract_z
P1 0.0000 0.0000 0.0000
Br1 0.0000 0.0000 0.2899
```

***

Record 6
First-principles (GGA-PBE) data for an optimized crystal structure of PmSm2MnN4, as listed in Alexandria.

The calculation puts the total energy at -8.127 eV per atom. For the uncorrected formation energy, the calculation gives -1044.8 meV per atom. The value obtained for the density of states at the Fermi level is 0.4115 states/eV/atom. As for the crystal system: orthorhombic. The spin magnetization is 0.01 μB per atom.

CIF file:
```
data_PmSm2MnN4
_space_group_name_H-M_alt 'C m c m'
_space_group_IT_number 63
_space_group_name_Hall '-C 2c 2'
_cell_length_a 3.4456
_cell_length_b 11.6771
_cell_length_c 11.8138
_cell_angle_alpha 90.00
_cell_angle_beta 90.00
_cell_angle_gamma 90.00
loop_
_atom_site_label
_atom_site_fract_x
_atom_site_fract_y
_atom_site_fract_z
Pm1 0.0000 0.1121 0.2500
Sm1 0.0000 0.3675 0.0437
Mn1 0.0000 0.1600 0.7500
N1 0.0000 0.0000 0.0000
N2 0.0000 0.2693 0.6361
N3 0.0000 0.4143 0.2500
```

***

Please write out number 5 again, unchanged.
First-principles (GGA-PBE) data for an optimized crystal structure of PBr6, as listed in Alexandria.

The calculation puts the total energy at -2.204 eV per atom. For the uncorrected formation energy, the calculation gives 2.7 meV per atom. The value obtained for the density of states at the Fermi level is 1.8343 states/eV/atom. As for the crystal system: cubic. The spin magnetization is 0.15 μB per atom.

CIF file:
```
data_PBr6
_space_group_name_H-M_alt 'I m -3 m'
_space_group_IT_number 229
_space_group_name_Hall '-I 4 2 3'
_cell_length_a 8.1232
_cell_length_b 8.1232
_cell_length_c 8.1232
_cell_angle_alpha 90.00
_cell_angle_beta 90.00
_cell_angle_gamma 90.00
loop_
_atom_site_label
_atom_site_fract_x
_atom_site_fract_y
_atom_site_fract_z
P1 0.0000 0.0000 0.0000
Br1 0.0000 0.0000 0.2899
```